A plane-wave DFT calculation with GGA-PBEsol was carried out for BaLa2Rh after structural relaxation.

Cell lengths 4.1428, 4.1428, 10.2889 Å; angles 78.39, 78.39, 60.00 degrees
With the nearest neighbours (Å) after each atom.
Sites, in units of the cell vectors:
Ba 0.0000 0.0000 0.0000  6 Ba 4.14, 6 La 4.23
Rh 0.5000 0.5000 0.5000  6 La 2.83
La 0.2171 0.2171 0.3487  3 Rh 2.83
La 0.7829 0.7829 0.6513  3 Rh 2.83

- volume (Å³/cell) = 148.7
- ΔE_f (eV/atom) = -0.345
- DOS at the Fermi energy (states/eV/atom) = 0.984